(one)
Density functional theory data (PBE) for a geometry-optimized CdSeIO2 structure.

The structure belongs to space group P4/mmm (No. 123); the cell edges are 4.148, 4.148 and 7.895 Å and the angles 90.00°, 90.00° and 90.00°. The inequivalent atoms are Cd at (0.000, 0.000, 0.000), Se at (0.500, 0.500, 0.500), I at (0.000, 0.000, 0.500) and O at (0.000, 0.500, 0.000).

Its crystal system is tetragonal. For the theoretical density, the calculation gives 4.3 Mg/m³. The total moment comes out at 1.4 μB per formula unit.

=====

(two)
Density functional theory data (PBE) for a geometry-optimized CdSeIO2 structure.

The structure belongs to space group P4/mmm (No. 123); the cell edges are 4.010, 4.010 and 7.375 Å and the angles 90.00°, 90.00° and 90.00°. The inequivalent atoms are Cd at (0.000, 0.000, 0.000), Se at (0.500, 0.500, 0.500), I at (0.500, 0.500, 0.000) and O at (0.000, 0.500, 0.500).

Its crystal system is tetragonal. For the theoretical density, the calculation gives 4.9 Mg/m³. The total moment comes out at 0.0 μB per formula unit.

=====

Which of them is the most stable? Correct choice: (two).

=====

(one)
Density functional theory data (PBE) for a geometry-optimized CdSiI2O structure.

The structure belongs to space group P4/mmm (No. 123); the cell edges are 5.788, 5.788 and 3.583 Å and the angles 90.00°, 90.00° and 90.00°. The inequivalent atoms are Cd at (0.000, 0.000, 0.000), Si at (0.500, 0.500, 0.500), I at (0.000, 0.500, 0.500) and O at (0.500, 0.500, 0.000).

Its crystal system is tetragonal. For the theoretical density, the calculation gives 5.7 Mg/m³. The total moment comes out at 0.0 μB per formula unit.

=====

(two)
Density functional theory data (PBE) for a geometry-optimized CdSiI2O structure.

The structure belongs to space group P4/mmm (No. 123); the cell edges are 5.930, 5.930 and 4.039 Å and the angles 90.00°, 90.00° and 90.00°. The inequivalent atoms are Cd at (0.000, 0.000, 0.000), Si at (0.500, 0.500, 0.500), I at (0.000, 0.500, 0.000) and O at (0.000, 0.000, 0.500).

Its crystal system is tetragonal. For the theoretical density, the calculation gives 4.8 Mg/m³. The total moment comes out at 0.0 μB per formula unit.

=====

Which of them is the most stable? Correct choice: (one).

=====

(one)
Density functional theory data (PBE) for a geometry-optimized CdSiIO2 structure.

The structure belongs to space group P4/mmm (No. 123); the cell edges are 3.829, 3.829 and 5.728 Å and the angles 90.00°, 90.00° and 90.00°. The inequivalent atoms are Cd at (0.000, 0.000, 0.000), Si at (0.500, 0.500, 0.500), I at (0.500, 0.500, 0.000) and O at (0.000, 0.500, 0.500).

Its crystal system is tetragonal. For the theoretical density, the calculation gives 5.9 Mg/m³. The total moment comes out at 0.0 μB per formula unit.

=====

(two)
Density functional theory data (PBE) for a geometry-optimized CdSiIO2 structure.

The structure belongs to space group P4/mmm (No. 123); the cell edges are 4.229, 4.229 and 6.100 Å and the angles 90.00°, 90.00° and 90.00°. The inequivalent atoms are Cd at (0.000, 0.000, 0.000), Si at (0.500, 0.500, 0.500), I at (0.000, 0.000, 0.500) and O at (0.000, 0.500, 0.000).

Its crystal system is tetragonal. For the theoretical density, the calculation gives 4.6 Mg/m³. The total moment comes out at 0.5 μB per formula unit.

=====

Which of them is the most stable? Correct choice: (one).

=====

(one)
Density functional theory data (PBE) for a geometry-optimized CdSnIO2 structure.

The structure belongs to space group P4/mmm (No. 123); the cell edges are 4.136, 4.136 and 6.482 Å and the angles 90.00°, 90.00° and 90.00°. The inequivalent atoms are Cd at (0.000, 0.000, 0.000), Sn at (0.500, 0.500, 0.500), I at (0.500, 0.500, 0.000) and O at (0.000, 0.500, 0.500).

Its crystal system is tetragonal. For the theoretical density, the calculation gives 5.8 Mg/m³. The total moment comes out at 0.0 μB per formula unit.

=====

(two)
Density functional theory data (PBE) for a geometry-optimized CdSnIO2 structure.

The structure belongs to space group P4/mmm (No. 123); the cell edges are 4.431, 4.431 and 5.795 Å and the angles 90.00°, 90.00° and 90.00°. The inequivalent atoms are Cd at (0.000, 0.000, 0.000), Sn at (0.500, 0.500, 0.500), I at (0.000, 0.000, 0.500) and O at (0.000, 0.500, 0.000).

Its crystal system is tetragonal. For the theoretical density, the calculation gives 5.7 Mg/m³. The total moment comes out at 0.8 μB per formula unit.

=====

Which of them is the most stable? Correct choice: (one).

=====

(one)
Density functional theory data (PBE) for a geometry-optimized CdTeI2O structure.

The structure belongs to space group P4/mmm (No. 123); the cell edges are 6.221, 6.221 and 4.088 Å and the angles 90.00°, 90.00° and 90.00°. The inequivalent atoms are Cd at (0.000, 0.000, 0.000), Te at (0.500, 0.500, 0.500), I at (0.000, 0.500, 0.500) and O at (0.500, 0.500, 0.000).

Its crystal system is tetragonal. For the theoretical density, the calculation gives 5.4 Mg/m³. The total moment comes out at 0.0 μB per formula unit.

=====

(two)
Density functional theory data (PBE) for a geometry-optimized CdTeI2O structure.

The structure belongs to space group P4/mmm (No. 123); the cell edges are 6.027, 6.027 and 4.034 Å and the angles 90.00°, 90.00° and 90.00°. The inequivalent atoms are Cd at (0.000, 0.000, 0.000), Te at (0.500, 0.500, 0.500), I at (0.000, 0.500, 0.000) and O at (0.000, 0.000, 0.500).

Its crystal system is tetragonal. For the theoretical density, the calculation gives 5.8 Mg/m³. The total moment comes out at 0.0 μB per formula unit.

=====

Which of them is the most stable? Correct choice: (one).

=====

(one)
Density functional theory data (PBE) for a geometry-optimized CdTeIO2 structure.

The structure belongs to space group P4/mmm (No. 123); the cell edges are 4.371, 4.371 and 6.427 Å and the angles 90.00°, 90.00° and 90.00°. The inequivalent atoms are Cd at (0.000, 0.000, 0.000), Te at (0.500, 0.500, 0.500), I at (0.000, 0.000, 0.500) and O at (0.000, 0.500, 0.000).

Its crystal system is tetragonal. For the theoretical density, the calculation gives 5.4 Mg/m³. The total moment comes out at 2.3 μB per formula unit.

=====

(two)
Density functional theory data (PBE) for a geometry-optimized CdTeIO2 structure.

The structure belongs to space group P4/mmm (No. 123); the cell edges are 4.176, 4.176 and 7.468 Å and the angles 90.00°, 90.00° and 90.00°. The inequivalent atoms are Cd at (0.000, 0.000, 0.000), Te at (0.500, 0.500, 0.500), I at (0.500, 0.500, 0.000) and O at (0.000, 0.500, 0.500).

Its crystal system is tetragonal. For the theoretical density, the calculation gives 5.1 Mg/m³. The total moment comes out at 0.0 μB per formula unit.

=====

Which of them is the most stable? Correct choice: (two).

=====

(one)
Density functional theory data (PBE) for a geometry-optimized YCdI2O structure.

The structure belongs to space group P4/mmm (No. 123); the cell edges are 6.253, 6.253 and 4.188 Å and the angles 90.00°, 90.00° and 90.00°. The inequivalent atoms are Y at (0.000, 0.000, 0.000), Cd at (0.500, 0.500, 0.500), I at (0.000, 0.500, 0.000) and O at (0.000, 0.000, 0.500).

Its crystal system is tetragonal. For the theoretical density, the calculation gives 4.8 Mg/m³. The total moment comes out at 0.0 μB per formula unit.

=====

(two)
Density functional theory data (PBE) for a geometry-optimized YCdI2O structure.

The structure belongs to space group P4/mmm (No. 123); the cell edges are 6.019, 6.019 and 4.002 Å and the angles 90.00°, 90.00° and 90.00°. The inequivalent atoms are Y at (0.000, 0.000, 0.000), Cd at (0.500, 0.500, 0.500), I at (0.000, 0.500, 0.500) and O at (0.500, 0.500, 0.000).

Its crystal system is tetragonal. For the theoretical density, the calculation gives 5.4 Mg/m³. The total moment comes out at 0.0 μB per formula unit.

=====

Which of them is the most stable? Correct choice: (one).